VASP calculation (PBE-GGA) on a relaxed structure of Ta2CoAu.

Unit cell a=3.1889 b=3.1889 c=6.3752 alpha=90.00 beta=90.00 gamma=90.00
Last column: nearest neighbours and their distance in Å.
Fractional coordinates of all 4 atoms:
Ta1 0.0000 0.0000 0.9600  4 Co 2.54, 1 Au 2.84
Ta2 0.5000 0.5000 0.2504  4 Au 2.81, 4 Ta 2.92, 1 Co 3.03
Co1 0.5000 0.5000 0.7752  4 Ta 2.54, 4 Au 2.80
Au1 0.0000 0.0000 0.5144  4 Co 2.80, 5 Ta 2.81-2.84

VASP calculation (PBE-GGA) on a relaxed structure of Ta2CoAu.

Unit cell a=3.9887 b=2.8502 c=6.0876 alpha=67.15 beta=90.00 gamma=90.00
Last column: nearest neighbours and their distance in Å.
Fractional coordinates of all 4 atoms:
Co1 0.5000 0.7500 0.7500  8 Ta 2.66-2.90, 2 Au 2.82, 2 Co 2.85
Ta1 0.0000 0.5219 0.5185  3 Ta 2.64-2.85, 4 Co 2.66-2.90, 4 Au 2.87-2.88
Ta2 0.0000 0.9781 0.9815  3 Ta 2.64-2.85, 4 Co 2.66-2.90, 4 Au 2.87-2.88
Au1 0.5000 0.2500 0.2500  2 Co 2.82, 2 Au 2.85, 8 Ta 2.87-2.88

VASP calculation (PBE-GGA) on a relaxed structure of Ta2Co2Au.

Unit cell a=6.9424 b=6.9424 c=3.0735 alpha=90.00 beta=90.00 gamma=90.00
Last column: nearest neighbours and their distance in Å.
Fractional coordinates of all 10 atoms:
Ta1 0.3324 0.1676 0.5000  6 Co 2.52-2.58
Ta2 0.8324 0.3324 0.5000  6 Co 2.52-2.58
Ta3 0.6676 0.8324 0.5000  6 Co 2.52-2.58
Ta4 0.1676 0.6676 0.5000  6 Co 2.52-2.58
Co1 0.8713 0.6287 0.0000  6 Ta 2.52-2.58, 1 Co 2.53, 2 Au 2.73
Co2 0.6287 0.1287 0.0000  6 Ta 2.52-2.58, 1 Co 2.53, 2 Au 2.73
Co3 0.1287 0.3713 0.0000  6 Ta 2.52-2.58, 1 Co 2.53, 2 Au 2.73
Co4 0.3713 0.8713 0.0000  6 Ta 2.52-2.58, 1 Co 2.53, 2 Au 2.73
Au1 0.0000 0.0000 0.0000  4 Co 2.73, 8 Ta 3.01
Au2 0.5000 0.5000 0.0000  4 Co 2.73, 8 Ta 3.01

VASP calculation (PBE-GGA) on a relaxed structure of TaCoAu2.

Unit cell a=2.8990 b=2.8990 c=7.7150 alpha=90.00 beta=90.00 gamma=89.98
Last column: nearest neighbours and their distance in Å.
Fractional coordinates of all 4 atoms:
Au1 0.0000 0.0000 0.0164  4 Co 2.73, 4 Au 2.90, 4 Ta 2.90
Au2 0.0000 0.0000 0.4836  4 Co 2.73, 4 Au 2.90, 4 Ta 2.90
Ta1 0.5000 0.5000 0.7500  4 Ta 2.90, 8 Au 2.90
Co1 0.5000 0.5000 0.2500  8 Au 2.73, 4 Co 2.90

VASP calculation (PBE-GGA) on a relaxed structure of TaCoAu.

Unit cell a=3.0263 b=3.8618 c=8.1490 alpha=90.00 beta=100.70 gamma=90.00
Last column: nearest neighbours and their distance in Å.
Fractional coordinates of all 6 atoms:
Au1 0.7964 0.7500 0.5928  1 Co 2.53
Au2 0.2036 0.2500 0.4072  1 Co 2.53
Ta1 0.4109 0.2500 0.8218  6 Co 2.55-2.63
Ta2 0.5891 0.7500 0.1782  6 Co 2.55-2.63
Co1 0.0455 0.2500 0.0910  2 Co 2.42, 1 Au 2.53, 6 Ta 2.55-2.63
Co2 0.9545 0.7500 0.9090  2 Co 2.42, 1 Au 2.53, 6 Ta 2.55-2.63

VASP calculation (PBE-GGA) on a relaxed structure of TaCoAu2.

Unit cell a=9.2730 b=9.2730 c=9.2730 alpha=17.91 beta=17.91 gamma=17.91
Last column: nearest neighbours and their distance in Å.
Fractional coordinates of all 4 atoms:
Ta1 0.7500 0.7500 0.7500  6 Ta 2.89, 6 Au 2.93
Au1 0.5048 0.5048 0.5048  3 Co 2.72, 6 Au 2.89, 3 Ta 2.93
Au2 0.9952 0.9952 0.9952  3 Co 2.72, 6 Au 2.89, 3 Ta 2.93
Co1 0.2500 0.2500 0.2500  6 Au 2.72, 6 Co 2.89

VASP calculation (PBE-GGA) on a relaxed structure of TaCoAu2.

Unit cell a=4.8773 b=4.8773 c=2.8133 alpha=90.00 beta=90.00 gamma=90.00
Last column: nearest neighbours and their distance in Å.
Fractional coordinates of all 4 atoms:
Co1 0.5000 0.0000 0.5000  2 Co 2.81, 8 Au 2.82
Au1 0.5000 0.5000 0.0000  2 Au 2.81, 4 Ta 2.82, 4 Co 2.82
Au2 0.0000 0.0000 0.0000  2 Au 2.81, 4 Ta 2.82, 4 Co 2.82
Ta1 0.0000 0.5000 0.5000  2 Ta 2.81, 8 Au 2.82

VASP calculation (PBE-GGA) on a relaxed structure of Ta2CoAu.

Unit cell a=4.5396 b=4.5396 c=4.5396 alpha=60.00 beta=60.00 gamma=60.00
Last column: nearest neighbours and their distance in Å.
Fractional coordinates of all 4 atoms:
Ta1 0.7500 0.7500 0.7500  4 Co 2.78, 4 Au 2.78
Ta2 0.2500 0.2500 0.2500  4 Co 2.78, 4 Au 2.78
Au1 0.5000 0.5000 0.5000  8 Ta 2.78
Co1 0.0000 0.0000 0.0000  8 Ta 2.78

VASP calculation (PBE-GGA) on a relaxed structure of Ta2CoAu.

Unit cell a=4.9287 b=4.9287 c=4.9287 alpha=132.57 beta=132.57 gamma=69.34
Last column: nearest neighbours and their distance in Å.
Fractional coordinates of all 4 atoms:
Co1 0.7500 0.2500 0.5000  4 Au 2.80, 8 Ta 2.84
Ta1 0.5000 0.5000 0.0000  4 Ta 2.80, 4 Au 2.84, 4 Co 2.84
Ta2 0.0000 0.0000 0.0000  4 Ta 2.80, 4 Co 2.84, 4 Au 2.84
Au1 0.2500 0.7500 0.5000  4 Co 2.80, 8 Ta 2.84

VASP calculation (PBE-GGA) on a relaxed structure of Ta2CoAu.

Unit cell a=5.0277 b=5.0277 c=5.0277 alpha=133.96 beta=133.96 gamma=67.16
Last column: nearest neighbours and their distance in Å.
Fractional coordinates of all 4 atoms:
Au1 0.5000 0.5000 0.0000  8 Ta 2.78-2.87, 4 Co 2.87
Co1 0.7500 0.2500 0.5000  8 Ta 2.78-2.87, 4 Au 2.87
Ta1 0.2500 0.7500 0.5000  4 Co 2.78, 4 Ta 2.87, 4 Au 2.87
Ta2 0.0000 0.0000 0.0000  4 Au 2.78, 4 Ta 2.87, 4 Co 2.87

VASP calculation (PBE-GGA) on a relaxed structure of TaCoAu2.

Unit cell a=3.0687 b=3.0686 c=6.9306 alpha=90.00 beta=90.00 gamma=89.99
Last column: nearest neighbours and their distance in Å.
Fractional coordinates of all 4 atoms:
Co1 0.0000 0.0000 0.5231  4 Ta 2.51, 4 Au 2.75
Au1 0.5000 0.5000 0.2790  4 Co 2.75, 8 Au 2.94-3.07, 1 Ta 2.96
Au2 0.0000 0.0000 0.9918  4 Ta 2.94, 8 Au 2.94-3.07, 1 Co 3.25
Ta1 0.5000 0.5000 0.7061  4 Co 2.51

VASP calculation (PBE-GGA) on a relaxed structure of Ta2Co2Au.

Unit cell a=7.4906 b=7.4906 c=2.7775 alpha=90.00 beta=90.00 gamma=90.00
Last column: nearest neighbours and their distance in Å.
Fractional coordinates of all 10 atoms:
Ta1 0.3510 0.8510 0.0000  6 Co 2.57-2.64, 2 Ta 2.78, 2 Au 2.86
Ta2 0.8510 0.6490 0.0000  6 Co 2.57-2.64, 2 Ta 2.78, 2 Au 2.86
Ta3 0.1490 0.3510 0.0000  6 Co 2.57-2.64, 2 Ta 2.78, 2 Au 2.86
Ta4 0.6490 0.1490 0.0000  6 Co 2.57-2.64, 2 Ta 2.78, 2 Au 2.86
Au1 0.5000 0.5000 0.0000  2 Au 2.78, 4 Ta 2.86
Au2 0.0000 0.0000 0.0000  2 Au 2.78, 4 Ta 2.86
Co1 0.1394 0.6394 0.5000  6 Ta 2.57-2.64, 2 Co 2.78
Co2 0.6394 0.8606 0.5000  6 Ta 2.57-2.64, 2 Co 2.78
Co3 0.8606 0.3606 0.5000  6 Ta 2.57-2.64, 2 Co 2.78
Co4 0.3606 0.1394 0.5000  6 Ta 2.57-2.64, 2 Co 2.78

Results for formation energy: -0.109 -0.040 -0.200 0.140 -0.123 0.232 0.254 0.182 -0.029 0.117 -0.035 0.097 (in eV per atom, following the order of the records).
Results for final energy: -8.631 -8.562 -8.439 -6.239 -7.535 -6.146 -6.124 -8.340 -8.551 -8.405 -6.413 -8.142 (in eV/atom, following the order of the records).